Compound: La2NiCl2
Source: Alexandria
Functional: PBE
Structure: optimized geometry

Results
- ΔE_f (raw): -1.37 eV per atom
- Final energy: -5.234 eV per atom

Lattice parameters (Å, degrees): 7.1040 4.1007 11.3252 90.00 103.26 90.00
Space group C2/m (No. 12)
Symmetry-distinct sites (fractional):
La  0.2224  0.0000  0.1529 [4 per cell]
Ni  0.0000  0.5000  0.0000 [2 per cell]
Cl  0.0515  0.0000  0.6845 [4 per cell]


Compound: La6Ni3Cl2
Source: Alexandria
Functional: PBE
Structure: optimized geometry

Results
- ΔE_f (raw): -0.74 eV per atom
- Final energy: -5.341 eV per atom

Lattice parameters (Å, degrees): 7.0799 12.6058 7.4643 90.00 107.21 90.00
Space group C2/m (No. 12)
Symmetry-distinct sites (fractional):
La  0.2382  0.0000  0.2204 [4 per cell]
La  0.2492  0.1625  0.7833 [8 per cell]
Ni  0.0000  0.1701  0.0000 [4 per cell]
Ni  0.0000  0.5000  0.0000 [2 per cell]
Cl  0.0000  0.3309  0.5000 [4 per cell]


Compound: La3NiCl
Source: Alexandria
Functional: PBE
Structure: optimized geometry

Results
- ΔE_f (raw): -0.27 eV per atom
- Offset from the most stable computed form: 385 meV/atom
- Final energy: -4.749 eV per atom

Lattice parameters (Å, degrees): 5.5439 5.5439 5.5439 90.00 90.00 90.00
Space group Pm-3m (No. 221)
Symmetry-distinct sites (fractional):
La  0.0000  0.0000  0.5000 [3 per cell]
Ni  0.0000  0.0000  0.0000 [1 per cell]
Cl  0.5000  0.5000  0.5000 [1 per cell]


Compound: La4Ni2Cl
Source: Alexandria
Functional: PBE
Structure: optimized geometry

Results
- ΔE_f (raw): -0.64 eV per atom
- Final energy: -5.368 eV per atom

Lattice parameters (Å, degrees): 13.7701 3.8898 9.4203 90.00 130.69 90.00
Space group C2/m (No. 12)
Symmetry-distinct sites (fractional):
La  0.0777  0.0000  0.3806 [4 per cell]
La  0.2131  0.5000  0.1217 [4 per cell]
Ni  0.0892  0.5000  0.6730 [4 per cell]
Cl  0.0000  0.0000  0.0000 [2 per cell]


Compound: LaNiCl3
Source: Alexandria
Functional: PBE
Structure: optimized geometry

Results
- ΔE_f (raw): -1.06 eV per atom
- Offset from the most stable computed form: 0 meV/atom
- Final energy: -4.305 eV per atom

Lattice parameters (Å, degrees): 4.6834 4.6834 4.6834 90.00 90.00 90.00
Space group Pm-3m (No. 221)
Symmetry-distinct sites (fractional):
La  0.0000  0.0000  0.0000 [1 per cell]
Ni  0.5000  0.5000  0.5000 [1 per cell]
Cl  0.0000  0.5000  0.5000 [3 per cell]


Compound: La6Ni2OsCl3
Source: Alexandria
Functional: PBE
Structure: optimized geometry

Results
- ΔE_f (raw): -1.00 eV per atom
- Final energy: -5.827 eV per atom

Lattice parameters (Å, degrees): 7.1365 12.3654 8.0142 90.00 107.25 90.00
Space group C2/m (No. 12)
Symmetry-distinct sites (fractional):
La  0.2328  0.1647  0.2043 [8 per cell]
La  0.2386  0.5000  0.2043 [4 per cell]
Ni  0.0000  0.3333  0.0000 [4 per cell]
Os  0.0000  0.0000  0.0000 [2 per cell]
Cl  0.0000  0.1655  0.5000 [4 per cell]
Cl  0.0000  0.5000  0.5000 [2 per cell]


Compound: LaNiP2Cl
Source: Alexandria
Functional: PBE
Structure: optimized geometry

Results
- ΔE_f (raw): -0.66 eV per atom
- Offset from the most stable computed form: 0 meV/atom
- Final energy: -5.336 eV per atom

Lattice parameters (Å, degrees): 4.4329 4.4329 4.9295 90.00 90.00 90.00
Space group P4/mmm (No. 123)
Symmetry-distinct sites (fractional):
La  0.0000  0.0000  0.0000 [1 per cell]
Ni  0.5000  0.5000  0.5000 [1 per cell]
P  0.0000  0.5000  0.5000 [2 per cell]
Cl  0.5000  0.5000  0.0000 [1 per cell]


Compound: LaNiP2Cl
Source: Alexandria
Functional: PBE
Structure: optimized geometry

Results
- ΔE_f (raw): 0.68 eV per atom
- Offset from the most stable computed form: 1337 meV/atom
- Final energy: -3.999 eV per atom

Lattice parameters (Å, degrees): 5.6010 5.6010 5.3808 90.00 90.00 90.00
Space group P4/mmm (No. 123)
Symmetry-distinct sites (fractional):
La  0.0000  0.0000  0.0000 [1 per cell]
Ni  0.5000  0.5000  0.5000 [1 per cell]
P  0.0000  0.5000  0.0000 [2 per cell]
Cl  0.0000  0.0000  0.5000 [1 per cell]


Compound: La6NiP2Cl3
Source: Alexandria
Functional: PBE
Structure: optimized geometry

Results
- ΔE_f (raw): -1.45 eV per atom
- Final energy: -5.758 eV per atom

Lattice parameters (Å, degrees): 18.7368 4.0990 8.6662 90.00 103.40 90.00
Space group C2/m (No. 12)
Symmetry-distinct sites (fractional):
La  0.0072  0.0000  0.2197 [4 per cell]
La  0.1678  0.5000  0.0937 [4 per cell]
La  0.1725  0.5000  0.5666 [4 per cell]
Ni  0.0000  0.5000  0.0000 [2 per cell]
P  0.1684  0.0000  0.3309 [4 per cell]
Cl  0.0000  0.5000  0.5000 [2 per cell]
Cl  0.1613  0.0000  0.8224 [4 per cell]


Compound: La4NiPCl2
Source: Alexandria
Functional: PBE
Structure: optimized geometry

Results
- ΔE_f (raw): -1.32 eV per atom
- Final energy: -5.641 eV per atom

Lattice parameters (Å, degrees): 7.4151 4.0767 7.5010 90.00 108.54 90.00
Space group P2/m (No. 10)
Symmetry-distinct sites (fractional):
La  0.2161  0.0000  0.2274 [2 per cell]
La  0.2317  0.5000  0.7384 [2 per cell]
Ni  0.0000  0.5000  0.0000 [1 per cell]
P  0.0000  0.0000  0.5000 [1 per cell]
Cl  0.5000  0.0000  0.0000 [1 per cell]
Cl  0.5000  0.5000  0.5000 [1 per cell]


Compound: La6Ni2PCl3
Source: Alexandria
Functional: PBE
Structure: optimized geometry

Results
- ΔE_f (raw): -1.19 eV per atom
- Final energy: -5.529 eV per atom

Lattice parameters (Å, degrees): 7.2920 12.4890 7.5384 90.00 108.97 90.00
Space group C2/m (No. 12)
Symmetry-distinct sites (fractional):
La  0.2292  0.0000  0.2151 [4 per cell]
La  0.2447  0.3290  0.2220 [8 per cell]
Ni  0.0000  0.1681  0.0000 [4 per cell]
P  0.0000  0.5000  0.0000 [2 per cell]
Cl  0.0000  0.0000  0.5000 [2 per cell]
Cl  0.0000  0.3421  0.5000 [4 per cell]


Compound: La8Ni3PdCl4
Source: Alexandria
Functional: PBE
Structure: optimized geometry

Results
- ΔE_f (raw): -1.02 eV per atom
- Final energy: -5.354 eV per atom

Lattice parameters (Å, degrees): 14.4579 8.3127 8.9458 90.00 122.55 90.00
Space group C2/m (No. 12)
Symmetry-distinct sites (fractional):
La  0.0159  0.2433  0.2922 [8 per cell]
La  0.2351  0.0000  0.7041 [4 per cell]
La  0.2405  0.5000  0.7076 [4 per cell]
Ni  0.0000  0.0000  0.5000 [2 per cell]
Ni  0.2500  0.2500  0.5000 [4 per cell]
Pd  0.0000  0.5000  0.5000 [2 per cell]
Cl  0.0000  0.0000  0.0000 [2 per cell]
Cl  0.0000  0.5000  0.0000 [2 per cell]
Cl  0.2500  0.2500  0.0000 [4 per cell]